Entry 1:
BaAg2W (GGA-PBE, relaxed); ρ = 9.2 g/cm³; space group = No. 119; total DFT energy (no corrections) = -4.0261 eV per atom; volume = 97.3 Å³ per cell; ΔE_f = 1118 meV per atom; energy above the most stable polymorph in this dataset = 146 kJ/mol of formula units
1.0
5.681 -0.039 0.000
2.054 5.297 0.000
-3.867 -2.629 3.226
Ag Ba W
2 1 1
Direct
0.250 0.750 0.500
0.000 0.000 0.000
0.500 0.500 0.000
0.750 0.250 0.500

---

Entry 2:
Ac2Pm2Pb (GGA-PBE, relaxed); ρ = 7.9 g/cm³; space group = No. 139; total DFT energy (no corrections) = -4.1366 eV per atom; volume = 201.0 Å³ per cell; ΔE_f = 149 meV per atom
1.0
-0.575 -3.922 -2.178
4.049 -1.399 1.451
-5.935 -1.175 8.379
Pm Ac Pb
2 2 1
Direct
0.250 0.750 0.500
0.750 0.250 0.500
0.412 0.412 0.825
0.588 0.588 0.175
0.000 0.000 0.000

---

Entry 3:
Dy4Sb2PS (GGA-PBE, relaxed); ρ = 7.7 g/cm³; space group = No. 10; E_form (uncorrected) = -1.451 eV/atom; total DFT energy (no corrections) = -5.9751 eV per atom; volume = 205.4 Å³ per cell
1.0
4.155 0.000 0.000
0.000 7.277 -0.179
0.000 2.527 6.731
Dy Sb S P
4 2 1 1
Direct
0.500 0.274 0.739
0.000 0.728 0.754
0.500 0.726 0.261
0.000 0.272 0.246
0.500 0.000 0.500
0.000 0.000 0.000
0.500 0.500 0.000
0.000 0.500 0.500

---

Entry 4:
CaLuZnCd (GGA-PBE, relaxed); ρ = 6.6 g/cm³; space group = No. 216; total DFT energy (no corrections) = -2.4566 eV per atom; volume = 98.4 Å³ per cell; ΔE_f = -279 meV per atom
1.0
5.182 0.000 0.000
2.591 4.487 0.000
2.591 1.496 4.231
Cd Zn Lu Ca
1 1 1 1
Direct
0.750 0.750 0.750
0.250 0.250 0.250
0.000 0.000 0.000
0.500 0.500 0.500

---

Entry 5:
La3NdHo6 (GGA-PBE, relaxed); ρ = 7.5 g/cm³; space group = No. 36; total DFT energy (no corrections) = -4.4868 eV per atom; volume = 687.1 Å³ per cell; ΔE_f = 215 meV per atom; energy above the most stable polymorph in this dataset = 0 kJ/mol of formula units
1.0
6.881 0.000 0.000
0.000 9.970 0.810
0.000 -1.435 9.899
La Nd Ho
6 2 12
Direct
0.484 0.241 0.167
0.205 0.396 0.604
0.984 0.759 0.833
0.484 0.833 0.759
0.705 0.604 0.396
0.984 0.167 0.241
0.022 0.191 0.809
0.522 0.809 0.191
0.312 0.525 0.950
0.517 0.213 0.787
0.812 0.475 0.050
0.751 0.011 0.989
0.200 0.719 0.512
0.812 0.950 0.525
0.017 0.787 0.213
0.312 0.050 0.475
0.200 0.488 0.281
0.251 0.989 0.011
0.700 0.512 0.719
0.700 0.281 0.488

---

Entry 6:
LiIn2AsCl (GGA-PBE, relaxed); ρ = 4.5 g/cm³; space group = No. 123; E_form (uncorrected) = -0.081 eV/atom; total DFT energy (no corrections) = -2.8588 eV per atom; volume = 129.2 Å³ per cell
1.0
-1.855 -2.654 4.362
3.807 0.701 2.046
-1.939 4.660 2.011
Li In Cl As
1 2 1 1
Direct
0.000 0.000 0.000
0.500 0.000 0.000
0.000 0.000 0.500
0.500 0.500 0.500
0.000 0.500 0.000

---

Entry 7:
LaZn2Pt (GGA-PBE, relaxed); ρ = 8.2 g/cm³; space group = No. 122; total DFT energy (no corrections) = -3.7943 eV per atom; volume = 187.8 Å³ per cell; ΔE_f = -415 meV per atom
1.0
4.493 0.000 0.000
0.000 4.493 0.000
2.246 2.246 9.304
Zn La Pt
4 2 2
Direct
0.956 0.625 0.250
0.794 0.125 0.250
0.875 0.044 0.750
0.375 0.206 0.750
0.250 0.750 0.500
0.500 0.500 0.000
0.750 0.250 0.500
0.000 0.000 0.000

---

Entry 8:
CsCaScSi2 (GGA-PBE, relaxed); ρ = 2.8 g/cm³; space group = No. 123; E_form (uncorrected) = 0.403 eV/atom; total DFT energy (no corrections) = -3.6032 eV per atom; volume = 162.7 Å³ per cell
1.0
5.295 0.000 0.000
0.000 5.803 0.000
0.000 0.000 5.295
Si Ca Sc Cs
2 1 1 1
Direct
0.500 0.000 0.000
0.000 0.000 0.500
0.000 0.500 0.000
0.000 0.000 0.000
0.500 0.500 0.500